# 1
# PrHoHg2, relaxed, DFT PBE
data_PrHoHg2
_chemical_formula_sum 'Pr1 Ho1 Hg2'
_space_group_name_H-M_alt 'P 4/m m m'
_space_group_IT_number 123
_space_group_name_Hall '-P 4 2'
_cell_length_a 3.726
_cell_length_b 3.726
_cell_length_c 7.728
_cell_angle_alpha 90.00
_cell_angle_beta 90.00
_cell_angle_gamma 90.00
loop_
_atom_site_label
_atom_site_fract_x
_atom_site_fract_y
_atom_site_fract_z
Pr1 0.000 0.000 0.000
Ho1 0.000 0.000 0.500
Hg1 0.500 0.500 0.272
# - ρ (g/cm³) = 10.94
# - M_tot (μB per cell) = 0.6
# - formation energy (eV per atom) = -0.478
# - energy (eV/cell) = -11.86

# 2
# HoPuHg, relaxed, DFT PBE
data_HoPuHg
_chemical_formula_sum 'Ho4 Pu4 Hg4'
_space_group_name_H-M_alt 'F -4 3 m'
_space_group_IT_number 216
_space_group_name_Hall 'F -4 2 3'
_cell_length_a 7.094
_cell_length_b 7.094
_cell_length_c 7.094
_cell_angle_alpha 90.00
_cell_angle_beta 90.00
_cell_angle_gamma 90.00
loop_
_atom_site_label
_atom_site_fract_x
_atom_site_fract_y
_atom_site_fract_z
Ho1 0.000 0.000 0.000
Pu1 0.250 0.250 0.750
Hg1 0.250 0.250 0.250
# - ρ (g/cm³) = 11.34
# - M_tot (μB per cell) = 24.6
# - formation energy (eV per atom) = 0.358
# - energy (eV/cell) = -71.71

# 3
# RbHoHgSe3, relaxed, DFT PBE
data_RbHoHgSe3
_chemical_formula_sum 'Rb2 Ho2 Hg2 Se6'
_space_group_name_H-M_alt 'P 1 21/m 1'
_space_group_IT_number 11
_cell_length_a 8.760
_cell_length_b 4.257
_cell_length_c 10.640
_cell_angle_alpha 90.00
_cell_angle_beta 109.28
_cell_angle_gamma 90.00
loop_
_space_group_symop_operation_xyz
'x,y,z'
'-x,-y,-z'
'-x,y+1/2,-z'
'x,-y+1/2,z'
loop_
_atom_site_label
_atom_site_fract_x
_atom_site_fract_y
_atom_site_fract_z
Rb1 0.246 0.250 0.271
Ho1 0.322 0.750 0.866
Hg1 0.086 0.250 0.616
Se1 0.093 0.250 0.865
Se2 0.248 0.750 0.561
Se3 0.463 0.750 0.143
# - ρ (g/cm³) = 6.10
# - M_tot (μB per cell) = 0.0
# - energy (eV/cell) = -46.90

# 4
# RbHoHgSe3, relaxed, DFT PBE
data_RbHoHgSe3
_chemical_formula_sum 'Rb4 Ho4 Hg4 Se12'
_space_group_name_H-M_alt 'C 1 2/m 1'
_space_group_IT_number 12
_cell_length_a 18.453
_cell_length_b 4.213
_cell_length_c 9.357
_cell_angle_alpha 90.00
_cell_angle_beta 102.08
_cell_angle_gamma 90.00
loop_
_space_group_symop_operation_xyz
'x,y,z'
'-x,-y,-z'
'-x,y,-z'
'x,-y,z'
'x+1/2,y+1/2,z'
'-x+1/2,-y+1/2,-z'
'-x+1/2,y+1/2,-z'
'x+1/2,-y+1/2,z'
loop_
_atom_site_label
_atom_site_fract_x
_atom_site_fract_y
_atom_site_fract_z
Rb1 0.145 0.000 0.068
Ho1 0.172 0.000 0.577
Hg1 0.017 0.500 0.723
Se1 0.000 0.000 0.500
Se2 0.000 0.500 0.000
Se3 0.169 0.500 0.780
Se4 0.171 0.500 0.371
# - ρ (g/cm³) = 6.42
# - M_tot (μB per cell) = 0.0
# - energy (eV/cell) = -92.15

# 5
# HoTlHgS3, relaxed, DFT PBE
data_HoTlHgS3
_chemical_formula_sum 'Ho4 Tl4 Hg4 S12'
_space_group_name_H-M_alt 'P n m a'
_space_group_IT_number 62
_cell_length_a 12.120
_cell_length_b 4.080
_cell_length_c 12.507
_cell_angle_alpha 90.00
_cell_angle_beta 90.00
_cell_angle_gamma 90.00
loop_
_space_group_symop_operation_xyz
'x,y,z'
'-x,-y,-z'
'-x+1/2,-y,z+1/2'
'x+1/2,y,-z+1/2'
'x+1/2,-y+1/2,-z+1/2'
'-x+1/2,y+1/2,z+1/2'
'-x,y+1/2,-z'
'x,-y+1/2,z'
loop_
_atom_site_label
_atom_site_fract_x
_atom_site_fract_y
_atom_site_fract_z
Ho1 0.041 0.250 0.159
Tl1 0.144 0.250 0.527
Hg1 0.248 0.750 0.318
S1 0.040 0.750 0.308
S2 0.086 0.250 0.935
S3 0.239 0.750 0.674
# - ρ (g/cm³) = 7.15
# - M_tot (μB per cell) = 0.0
# - energy (eV/cell) = -100.96

# 6
# HoTlHgS3, relaxed, DFT PBE
data_HoTlHgS3
_chemical_formula_sum 'Ho4 Tl4 Hg4 S12'
_space_group_name_H-M_alt 'P n m a'
_space_group_IT_number 62
_cell_length_a 10.692
_cell_length_b 4.100
_cell_length_c 15.146
_cell_angle_alpha 90.00
_cell_angle_beta 90.00
_cell_angle_gamma 90.00
loop_
_space_group_symop_operation_xyz
'x,y,z'
'-x,-y,-z'
'-x+1/2,-y,z+1/2'
'x+1/2,y,-z+1/2'
'x+1/2,-y+1/2,-z+1/2'
'-x+1/2,y+1/2,z+1/2'
'-x,y+1/2,-z'
'x,-y+1/2,z'
loop_
_atom_site_label
_atom_site_fract_x
_atom_site_fract_y
_atom_site_fract_z
Ho1 0.012 0.250 0.250
Tl1 0.238 0.250 0.559
Hg1 0.238 0.250 0.851
S1 0.016 0.250 0.871
S2 0.040 0.750 0.372
S3 0.238 0.750 0.705
# - ρ (g/cm³) = 6.66
# - M_tot (μB per cell) = 0.0
# - energy (eV/cell) = -102.23

# 7
# HoTlHgS3, relaxed, DFT PBE
data_HoTlHgS3
_chemical_formula_sum 'Ho4 Tl4 Hg4 S12'
_space_group_name_H-M_alt 'P n m a'
_space_group_IT_number 62
_cell_length_a 14.329
_cell_length_b 4.103
_cell_length_c 10.983
_cell_angle_alpha 90.00
_cell_angle_beta 90.00
_cell_angle_gamma 90.00
loop_
_space_group_symop_operation_xyz
'x,y,z'
'-x,-y,-z'
'-x+1/2,-y,z+1/2'
'x+1/2,y,-z+1/2'
'x+1/2,-y+1/2,-z+1/2'
'-x+1/2,y+1/2,z+1/2'
'-x,y+1/2,-z'
'x,-y+1/2,z'
loop_
_atom_site_label
_atom_site_fract_x
_atom_site_fract_y
_atom_site_fract_z
Ho1 0.026 0.250 0.151
Tl1 0.247 0.250 0.450
Hg1 0.022 0.750 0.393
S1 0.089 0.750 0.628
S2 0.090 0.250 0.923
S3 0.143 0.750 0.226
# - ρ (g/cm³) = 6.85
# - M_tot (μB per cell) = 0.0
# - energy (eV/cell) = -101.40

# 8
# HoTlHgS3, relaxed, DFT PBE
data_HoTlHgS3
_chemical_formula_sum 'Ho4 Tl4 Hg4 S12'
_space_group_name_H-M_alt 'C 1 2/m 1'
_space_group_IT_number 12
_cell_length_a 16.973
_cell_length_b 4.037
_cell_length_c 9.190
_cell_angle_alpha 90.00
_cell_angle_beta 103.80
_cell_angle_gamma 90.00
loop_
_space_group_symop_operation_xyz
'x,y,z'
'-x,-y,-z'
'-x,y,-z'
'x,-y,z'
'x+1/2,y+1/2,z'
'-x+1/2,-y+1/2,-z'
'-x+1/2,y+1/2,-z'
'x+1/2,-y+1/2,z'
loop_
_atom_site_label
_atom_site_fract_x
_atom_site_fract_y
_atom_site_fract_z
Ho1 0.171 0.000 0.087
Tl1 0.141 0.000 0.568
Hg1 0.009 0.500 0.220
S1 0.000 0.000 0.000
S2 0.000 0.500 0.500
S3 0.166 0.500 0.879
S4 0.168 0.500 0.285
# - ρ (g/cm³) = 7.23
# - M_tot (μB per cell) = 0.0
# - energy (eV/cell) = -100.99

# 9
# HoTlHgS3, relaxed, DFT PBE
data_HoTlHgS3
_chemical_formula_sum 'Ho2 Tl2 Hg2 S6'
_space_group_name_H-M_alt 'P 1 21/m 1'
_space_group_IT_number 11
_cell_length_a 7.951
_cell_length_b 4.092
_cell_length_c 10.537
_cell_angle_alpha 90.00
_cell_angle_beta 108.45
_cell_angle_gamma 90.00
loop_
_space_group_symop_operation_xyz
'x,y,z'
'-x,-y,-z'
'-x,y+1/2,-z'
'x,-y+1/2,z'
loop_
_atom_site_label
_atom_site_fract_x
_atom_site_fract_y
_atom_site_fract_z
Ho1 0.187 0.250 0.134
Tl1 0.226 0.750 0.723
Hg1 0.415 0.750 0.383
S1 0.047 0.250 0.869
S2 0.243 0.250 0.428
S3 0.427 0.750 0.147
# - ρ (g/cm³) = 6.80
# - M_tot (μB per cell) = 0.0
# - energy (eV/cell) = -50.65

# 10
# HoTlHgS3, relaxed, DFT PBE
data_HoTlHgS3
_chemical_formula_sum 'Ho4 Tl4 Hg4 S12'
_space_group_name_H-M_alt 'C m c m'
_space_group_IT_number 63
_space_group_name_Hall '-C 2c 2'
_cell_length_a 4.089
_cell_length_b 15.173
_cell_length_c 10.676
_cell_angle_alpha 90.00
_cell_angle_beta 90.00
_cell_angle_gamma 90.00
loop_
_atom_site_label
_atom_site_fract_x
_atom_site_fract_y
_atom_site_fract_z
Ho1 0.000 0.000 0.000
Tl1 0.000 0.309 0.250
Hg1 0.000 0.399 0.750
S1 0.000 0.045 0.750
S2 0.000 0.378 0.528
# - ρ (g/cm³) = 6.68
# - M_tot (μB per cell) = 0.0
# - energy (eV/cell) = -102.22

# 11
# HoTlHgS3, relaxed, DFT PBE
data_HoTlHgS3
_chemical_formula_sum 'Ho4 Tl4 Hg4 S12'
_space_group_name_H-M_alt 'P n m a'
_space_group_IT_number 62
_cell_length_a 8.025
_cell_length_b 4.396
_cell_length_c 16.288
_cell_angle_alpha 90.00
_cell_angle_beta 90.00
_cell_angle_gamma 90.00
loop_
_space_group_symop_operation_xyz
'x,y,z'
'-x,-y,-z'
'-x+1/2,-y,z+1/2'
'x+1/2,y,-z+1/2'
'x+1/2,-y+1/2,-z+1/2'
'-x+1/2,y+1/2,z+1/2'
'-x,y+1/2,-z'
'x,-y+1/2,z'
loop_
_atom_site_label
_atom_site_fract_x
_atom_site_fract_y
_atom_site_fract_z
Ho1 0.227 0.250 0.037
Tl1 0.063 0.250 0.805
Hg1 0.084 0.250 0.345
S1 0.004 0.750 0.423
S2 0.124 0.750 0.955
S3 0.224 0.250 0.203
# - ρ (g/cm³) = 7.70
# - M_tot (μB per cell) = 0.0
# - energy (eV/cell) = -99.60

# 12
# HoHg3Sb2, relaxed, DFT PBE
data_HoHg3Sb2
_chemical_formula_sum 'Ho1 Hg3 Sb2'
_space_group_name_H-M_alt 'P 6/m m m'
_space_group_IT_number 191
_space_group_name_Hall '-P 6 2'
_cell_length_a 5.8559
_cell_length_b 5.8559
_cell_length_c 5.3482
_cell_angle_alpha 90.00
_cell_angle_beta 90.00
_cell_angle_gamma 120.00
loop_
_atom_site_label
_atom_site_fract_x
_atom_site_fract_y
_atom_site_fract_z
Ho1 0.0000 0.0000 0.0000
Hg1 0.0000 0.5000 0.5000
Sb1 0.3333 0.6667 0.0000
# - ρ (g/cm³) = 10.56
# - M_tot (μB per cell) = 0.0
# - energy (eV/cell) = -13.43

Which formula does entry 10 have? HoTlHgS3